(1)
Ac12Sm7Tm after structural relaxation, computed with PBE.

Values from the calculation:
- ΔE_f: 0.189 eV/atom
- SG: R-3 (148)
- Total magnetic moment: 0.00 μB per formula unit

a b c (Å): 12.2022 12.2022 12.2022
angles (deg): 116.76 116.76 116.76
With the nearest neighbours (Å) after each atom.
Fractional coordinates of all 20 atoms:
Ac 0.0862 0.4313 0.4319  4 Sm 3.54-3.78, 1 Ac 3.72
Ac 0.0869 0.4991 0.9119  2 Sm 3.60, 3 Ac 3.61-3.64
Ac 0.0881 0.9131 0.5009  2 Sm 3.60, 3 Ac 3.61-3.64
Ac 0.4313 0.4319 0.0862  4 Sm 3.54-3.78, 1 Ac 3.72
Ac 0.4319 0.0862 0.4313  4 Sm 3.54-3.78, 1 Ac 3.72
Ac 0.4991 0.9119 0.0869  2 Sm 3.60, 3 Ac 3.61-3.64
Ac 0.5009 0.0881 0.9131  2 Sm 3.60, 3 Ac 3.61-3.64
Ac 0.5681 0.9138 0.5687  4 Sm 3.54-3.78, 1 Ac 3.72
Ac 0.5687 0.5682 0.9138  4 Sm 3.54-3.78, 1 Ac 3.72
Ac 0.9119 0.0869 0.4991  2 Sm 3.60, 3 Ac 3.61-3.64
Ac 0.9131 0.5009 0.0881  2 Sm 3.60, 3 Ac 3.61-3.64
Ac 0.9138 0.5687 0.5681  4 Sm 3.54-3.78, 1 Ac 3.72
Sm 0.1064 0.3480 0.1071  1 Tm 3.15
Sm 0.1071 0.1064 0.3480  1 Tm 3.15
Sm 0.3480 0.1071 0.1064  1 Tm 3.15
Sm 0.5000 0.5000 0.5000  2 Tm 3.33, 6 Sm 3.57
Sm 0.6520 0.8929 0.8936  1 Tm 3.15
Sm 0.8929 0.8936 0.6520  1 Tm 3.15
Sm 0.8936 0.6520 0.8929  1 Tm 3.15
Tm 0.0000 0.0000 0.0000  8 Sm 3.15-3.33

(2)
Ac7Sm4Tm after structural relaxation, computed with PBE.

Values from the calculation:
- ΔE_f: 0.124 eV/atom
- SG: P-1 (2)
- Total magnetic moment: 0.00 μB per formula unit

a b c (Å): 6.9924 7.1681 10.0037
angles (deg): 89.59 76.12 83.98
With the nearest neighbours (Å) after each atom.
Fractional coordinates of all 12 atoms:
Ac 0.0000 0.0000 0.0000  2 Tm 3.58, 4 Sm 3.59-3.79, 2 Ac 3.88
Ac 0.2018 0.6245 0.3985  5 Sm 3.59-3.83, 4 Ac 3.68-3.86
Ac 0.2975 0.1762 0.6333  5 Sm 3.69-4.07, 6 Ac 3.72-4.06
Ac 0.4918 0.7484 0.0573  6 Ac 3.68-4.07, 4 Sm 3.70-3.93, 1 Tm 3.72
Ac 0.5082 0.2516 0.9427  6 Ac 3.68-4.07, 4 Sm 3.70-3.93, 1 Tm 3.72
Ac 0.7025 0.8238 0.3667  5 Sm 3.69-4.07, 6 Ac 3.72-4.06
Ac 0.7982 0.3755 0.6015  5 Sm 3.59-3.83, 4 Ac 3.68-3.86
Sm 0.1633 0.1398 0.2942  7 Ac 3.59-3.89, 2 Sm 3.73-3.75
Sm 0.3495 0.6782 0.7298  1 Tm 3.51, 7 Ac 3.59-3.93, 2 Sm 3.73-3.75
Sm 0.6505 0.3218 0.2702  1 Tm 3.51, 7 Ac 3.59-3.93, 2 Sm 3.73-3.75
Sm 0.8367 0.8602 0.7058  7 Ac 3.59-3.89, 2 Sm 3.73-3.75
Tm 0.0000 0.5000 0.0000  2 Sm 3.51, 4 Ac 3.58-3.72

(3)
Ac14SmTm after structural relaxation, computed with PBE.

Values from the calculation:
- ΔE_f: 0.029 eV/atom
- SG: P4/mmm (123)
- Total magnetic moment: 0.00 μB per formula unit

a b c (Å): 7.8732 7.8732 11.1969
angles (deg): 90.00 90.00 90.00
With the nearest neighbours (Å) after each atom.
Fractional coordinates of all 16 atoms:
Ac 0.0000 0.0000 0.0000  12 Ac 3.94-4.00
Ac 0.0000 0.5000 0.0000  12 Ac 3.94-4.00
Ac 0.0000 0.5000 0.5000  8 Ac 3.90, 2 Tm 3.94, 2 Sm 3.94
Ac 0.2505 0.2505 0.2567  1 Tm 3.89, 10 Ac 3.90-4.00, 1 Sm 3.90
Ac 0.2505 0.2505 0.7433  1 Tm 3.89, 10 Ac 3.90-4.00, 1 Sm 3.90
Ac 0.2505 0.7495 0.2567  1 Tm 3.89, 10 Ac 3.90-4.00, 1 Sm 3.90
Ac 0.2505 0.7495 0.7433  1 Tm 3.89, 10 Ac 3.90-4.00, 1 Sm 3.90
Ac 0.5000 0.0000 0.0000  12 Ac 3.94-4.00
Ac 0.5000 0.0000 0.5000  8 Ac 3.90, 2 Tm 3.94, 2 Sm 3.94
Ac 0.5000 0.5000 0.0000  12 Ac 3.94-4.00
Ac 0.7495 0.2505 0.2567  1 Tm 3.89, 10 Ac 3.90-4.00, 1 Sm 3.90
Ac 0.7495 0.2505 0.7433  1 Tm 3.89, 10 Ac 3.90-4.00, 1 Sm 3.90
Ac 0.7495 0.7495 0.2567  1 Tm 3.89, 10 Ac 3.90-4.00, 1 Sm 3.90
Ac 0.7495 0.7495 0.7433  1 Tm 3.89, 10 Ac 3.90-4.00, 1 Sm 3.90
Sm 0.0000 0.0000 0.5000  12 Ac 3.90-3.94
Tm 0.5000 0.5000 0.5000  12 Ac 3.89-3.94

(4)
AcSm3Tm7 after structural relaxation, computed with PBE.

Values from the calculation:
- ΔE_f: 0.212 eV/atom
- SG: P3m1 (156)
- Total magnetic moment: 0.00 μB per formula unit

a b c (Å): 7.0603 7.0603 8.7031
angles (deg): 90.00 90.00 120.00
With the nearest neighbours (Å) after each atom.
Fractional coordinates of all 11 atoms:
Ac 0.0000 0.0000 0.0000  9 Tm 3.52-3.53, 3 Sm 3.61
Sm 0.3360 0.1680 0.3417  4 Sm 3.50-3.56, 5 Tm 3.52-3.62, 1 Ac 3.61
Sm 0.8320 0.1680 0.3417  4 Sm 3.50-3.56, 5 Tm 3.52-3.62, 1 Ac 3.61
Sm 0.8320 0.6640 0.3417  4 Sm 3.50-3.56, 5 Tm 3.52-3.62, 1 Ac 3.61
Tm 0.1675 0.3350 0.6706  8 Tm 3.50-3.55, 2 Sm 3.52, 1 Ac 3.52
Tm 0.1675 0.8325 0.6706  8 Tm 3.50-3.55, 2 Sm 3.52, 1 Ac 3.52
Tm 0.5010 0.0021 0.9974  7 Tm 3.46-3.55, 2 Ac 3.53, 2 Sm 3.62
Tm 0.5010 0.4990 0.9974  7 Tm 3.46-3.55, 2 Ac 3.53, 2 Sm 3.62
Tm 0.6650 0.8325 0.6706  8 Tm 3.50-3.55, 2 Sm 3.52, 1 Ac 3.52
Tm 0.6667 0.3333 0.6745  9 Tm 3.46-3.53, 3 Sm 3.53
Tm 0.9979 0.4990 0.9974  7 Tm 3.46-3.55, 2 Ac 3.53, 2 Sm 3.62

(5)
AcSm3Tm after structural relaxation, computed with PBE.

Values from the calculation:
- Relative energy among the computed polymorphs: 228.7 meV per atom
- ΔE_f: 0.382 eV/atom
- SG: R-3 (148)
- Total magnetic moment: 0.00 μB per formula unit

a b c (Å): 12.0586 12.0586 12.0586
angles (deg): 30.08 30.08 30.08
With the nearest neighbours (Å) after each atom.
Fractional coordinates of all 10 atoms:
Ac 0.1664 0.1664 0.1664  3 Ac 3.61, 6 Sm 3.66-3.71
Ac 0.8336 0.8336 0.8336  3 Ac 3.61, 6 Sm 3.66-3.71
Sm 0.0821 0.4060 0.7482  2 Tm 3.41-3.46, 6 Sm 3.57-3.66, 2 Ac 3.66-3.71
Sm 0.2518 0.9179 0.5940  2 Tm 3.41-3.46, 6 Sm 3.57-3.66, 2 Ac 3.66-3.71
Sm 0.4060 0.7482 0.0821  2 Tm 3.41-3.46, 6 Sm 3.57-3.66, 2 Ac 3.66-3.71
Sm 0.5940 0.2518 0.9179  2 Tm 3.41-3.46, 6 Sm 3.57-3.66, 2 Ac 3.66-3.71
Sm 0.7482 0.0821 0.4060  2 Tm 3.41-3.46, 6 Sm 3.57-3.66, 2 Ac 3.66-3.71
Sm 0.9179 0.5940 0.2518  2 Tm 3.41-3.46, 6 Sm 3.57-3.66, 2 Ac 3.66-3.71
Tm 0.3337 0.3337 0.3337  6 Sm 3.41-3.46, 3 Tm 3.61
Tm 0.6663 0.6663 0.6663  6 Sm 3.41-3.46, 3 Tm 3.61

(6)
AcSm3Tm8 after structural relaxation, computed with PBE.

Values from the calculation:
- ΔE_f: 0.311 eV/atom
- SG: Immm (71)
- Total magnetic moment: 0.00 μB per formula unit

a b c (Å): 8.7185 8.7185 8.7185
angles (deg): 137.60 98.52 96.51
With the nearest neighbours (Å) after each atom.
Fractional coordinates of all 12 atoms:
Ac 0.0000 0.0000 0.0000  8 Tm 3.39-3.52
Sm 0.2581 0.5000 0.7581  6 Tm 3.75-3.77, 2 Sm 4.18
Sm 0.5000 0.0000 0.5000  8 Tm 3.21-3.50
Sm 0.7419 0.5000 0.2419  6 Tm 3.75-3.77, 2 Sm 4.18
Tm 0.0738 0.8226 0.2512  6 Tm 3.33-3.58, 1 Sm 3.50, 1 Ac 3.52
Tm 0.2598 0.0129 0.7531  6 Tm 3.11-3.39, 1 Sm 3.21, 1 Ac 3.39
Tm 0.2598 0.5067 0.2469  6 Tm 3.11-3.39, 1 Sm 3.21, 1 Ac 3.39
Tm 0.4286 0.1774 0.2512  6 Tm 3.33-3.58, 1 Sm 3.50, 1 Ac 3.52
Tm 0.5714 0.8226 0.7488  6 Tm 3.33-3.58, 1 Sm 3.50, 1 Ac 3.52
Tm 0.7402 0.4933 0.7531  6 Tm 3.11-3.39, 1 Sm 3.21, 1 Ac 3.39
Tm 0.7402 0.9871 0.2469  6 Tm 3.11-3.39, 1 Sm 3.21, 1 Ac 3.39
Tm 0.9262 0.1774 0.7488  6 Tm 3.33-3.58, 1 Sm 3.50, 1 Ac 3.52

(7)
Ac3Sm6Tm2 after structural relaxation, computed with PBE.

Values from the calculation:
- ΔE_f: 0.052 eV/atom
- SG: R-3m (166)
- Total magnetic moment: 0.00 μB per formula unit

a b c (Å): 32.9595 32.9595 32.9595
angles (deg): 6.47 6.47 6.47
With the nearest neighbours (Å) after each atom.
Fractional coordinates of all 11 atoms:
Ac 0.0000 0.0000 0.0000  6 Ac 3.72, 6 Sm 3.76
Ac 0.2707 0.2707 0.2707  6 Ac 3.72, 6 Sm 3.77-3.79
Ac 0.7293 0.7293 0.7293  6 Ac 3.72, 6 Sm 3.77-3.79
Sm 0.0943 0.0943 0.0943  3 Tm 3.55, 6 Sm 3.72, 3 Ac 3.79
Sm 0.1815 0.1815 0.1815  3 Tm 3.56, 9 Sm 3.63-3.72
Sm 0.3646 0.3646 0.3646  6 Sm 3.72, 6 Ac 3.76-3.77
Sm 0.6354 0.6354 0.6354  6 Sm 3.72, 6 Ac 3.76-3.77
Sm 0.8185 0.8185 0.8185  3 Tm 3.56, 9 Sm 3.63-3.72
Sm 0.9057 0.9057 0.9057  3 Tm 3.55, 6 Sm 3.72, 3 Ac 3.79
Tm 0.4563 0.4563 0.4563  6 Sm 3.55-3.56, 6 Tm 3.72
Tm 0.5437 0.5437 0.5437  6 Sm 3.55-3.56, 6 Tm 3.72

(8)
AcSm5Tm6 after structural relaxation, computed with PBE.

Values from the calculation:
- ΔE_f: 0.035 eV/atom
- SG: C2/m (12)
- Total magnetic moment: 0.00 μB per formula unit

a b c (Å): 7.9924 7.9924 6.2241
angles (deg): 97.51 97.51 84.85
With the nearest neighbours (Å) after each atom.
Fractional coordinates of all 12 atoms:
Ac 0.0000 0.0000 0.0000  6 Tm 3.59-3.60, 6 Sm 3.61-3.62
Sm 0.1705 0.8295 0.5000  6 Tm 3.52-3.60, 4 Sm 3.55-3.68, 2 Ac 3.61
Sm 0.3361 0.6639 0.0000  5 Sm 3.54-3.59, 6 Tm 3.54-3.60, 1 Ac 3.62
Sm 0.5000 0.5000 0.5000  6 Tm 3.54-3.55, 6 Sm 3.55-3.58
Sm 0.6639 0.3361 0.0000  5 Sm 3.54-3.59, 6 Tm 3.54-3.60, 1 Ac 3.62
Sm 0.8295 0.1705 0.5000  6 Tm 3.52-3.60, 4 Sm 3.55-3.68, 2 Ac 3.61
Tm 0.0844 0.4199 0.2506  5 Sm 3.52-3.60, 6 Tm 3.58-3.62, 1 Ac 3.59
Tm 0.2517 0.2517 0.7461  5 Sm 3.54-3.60, 6 Tm 3.58-3.62, 1 Ac 3.60
Tm 0.4199 0.0844 0.2506  5 Sm 3.52-3.60, 6 Tm 3.58-3.62, 1 Ac 3.59
Tm 0.5801 0.9156 0.7494  5 Sm 3.52-3.60, 6 Tm 3.58-3.62, 1 Ac 3.59
Tm 0.7483 0.7483 0.2539  5 Sm 3.54-3.60, 6 Tm 3.58-3.62, 1 Ac 3.60
Tm 0.9156 0.5801 0.7494  5 Sm 3.52-3.60, 6 Tm 3.58-3.62, 1 Ac 3.59

(9)
AcSm8Tm4 after structural relaxation, computed with PBE.

Values from the calculation:
- ΔE_f: 0.250 eV/atom
- SG: R-3m (166)
- Total magnetic moment: 0.00 μB per formula unit

a b c (Å): 10.4366 10.4366 10.4366
angles (deg): 41.19 41.19 41.19
With the nearest neighbours (Å) after each atom.
Fractional coordinates of all 13 atoms:
Ac 0.0000 0.0000 0.0000  6 Sm 3.12
Sm 0.2568 0.2568 0.7004  1 Ac 3.12, 2 Sm 3.26, 1 Tm 3.31
Sm 0.2568 0.7004 0.2568  1 Ac 3.12, 2 Sm 3.26, 1 Tm 3.31
Sm 0.2855 0.2855 0.2855  9 Sm 3.74-3.89, 3 Tm 4.01
Sm 0.2996 0.7432 0.7432  1 Ac 3.12, 2 Sm 3.26, 1 Tm 3.31
Sm 0.7004 0.2568 0.2568  1 Ac 3.12, 2 Sm 3.26, 1 Tm 3.31
Sm 0.7145 0.7145 0.7145  9 Sm 3.74-3.89, 3 Tm 4.01
Sm 0.7432 0.2996 0.7432  1 Ac 3.12, 2 Sm 3.26, 1 Tm 3.31
Sm 0.7432 0.7432 0.2996  1 Ac 3.12, 2 Sm 3.26, 1 Tm 3.31
Tm 0.0000 0.0000 0.5000  4 Sm 3.54, 6 Tm 3.67
Tm 0.0000 0.5000 0.0000  4 Sm 3.54, 6 Tm 3.67
Tm 0.5000 0.0000 0.0000  4 Sm 3.54, 6 Tm 3.67
Tm 0.5000 0.5000 0.5000  6 Sm 3.31, 6 Tm 3.67

(10)
AcSm3Tm2 after structural relaxation, computed with PBE.

Values from the calculation:
- Relative energy among the computed polymorphs: 294.9 meV per atom
- ΔE_f: 0.384 eV/atom
- SG: Immm (71)
- Total magnetic moment: 0.00 μB per formula unit

a b c (Å): 10.4308 10.4308 10.4308
angles (deg): 160.61 145.74 39.67
With the nearest neighbours (Å) after each atom.
Fractional coordinates of all 6 atoms:
Ac 0.0000 0.0000 0.0000  2 Sm 3.07
Sm 0.1924 0.1924 0.0000  5 Tm 3.31-3.69, 2 Sm 3.51
Sm 0.5000 0.0000 0.5000  2 Ac 3.07, 4 Tm 3.25
Sm 0.8076 0.8076 0.0000  5 Tm 3.31-3.69, 2 Sm 3.51
Tm 0.3609 0.3609 0.0000  3 Sm 3.25-3.31, 2 Tm 3.51
Tm 0.6391 0.6391 0.0000  3 Sm 3.25-3.31, 2 Tm 3.51

(11)
Ac3Sm3Tm after structural relaxation, computed with PBE.

Values from the calculation:
- ΔE_f: 0.202 eV/atom
- SG: R-3 (148)
- Total magnetic moment: 0.00 μB per formula unit

a b c (Å): 9.2202 9.2202 9.2202
angles (deg): 59.83 59.83 59.83
With the nearest neighbours (Å) after each atom.
Fractional coordinates of all 14 atoms:
Ac 0.0580 0.2186 0.5663  4 Sm 3.51-3.73, 2 Tm 3.75-3.86, 2 Ac 3.92
Ac 0.2186 0.5663 0.0580  4 Sm 3.51-3.73, 2 Tm 3.75-3.86, 2 Ac 3.92
Ac 0.4337 0.9420 0.7814  4 Sm 3.51-3.73, 2 Tm 3.75-3.86, 2 Ac 3.92
Ac 0.5663 0.0580 0.2186  4 Sm 3.51-3.73, 2 Tm 3.75-3.86, 2 Ac 3.92
Ac 0.7814 0.4337 0.9420  4 Sm 3.51-3.73, 2 Tm 3.75-3.86, 2 Ac 3.92
Ac 0.9420 0.7814 0.4337  4 Sm 3.51-3.73, 2 Tm 3.75-3.86, 2 Ac 3.92
Sm 0.2197 0.4312 0.6834  2 Sm 3.29, 2 Ac 3.51-3.52, 1 Tm 3.67
Sm 0.3166 0.7803 0.5688  2 Sm 3.29, 2 Ac 3.51-3.52, 1 Tm 3.67
Sm 0.4312 0.6834 0.2197  2 Sm 3.29, 2 Ac 3.51-3.52, 1 Tm 3.67
Sm 0.5688 0.3166 0.7803  2 Sm 3.29, 2 Ac 3.51-3.52, 1 Tm 3.67
Sm 0.6834 0.2197 0.4312  2 Sm 3.29, 2 Ac 3.51-3.52, 1 Tm 3.67
Sm 0.7803 0.5688 0.3166  2 Sm 3.29, 2 Ac 3.51-3.52, 1 Tm 3.67
Tm 0.1529 0.1529 0.1529  6 Sm 3.67-4.02, 6 Ac 3.75-3.86
Tm 0.8471 0.8471 0.8471  6 Sm 3.67-4.02, 6 Ac 3.75-3.86

(12)
AcSm4Tm3 after structural relaxation, computed with PBE.

Values from the calculation:
- ΔE_f: 0.092 eV/atom
- SG: Immm (71)
- Total magnetic moment: 0.00 μB per formula unit

a b c (Å): 12.8288 12.8288 12.8288
angles (deg): 163.15 153.55 31.52
With the nearest neighbours (Å) after each atom.
Fractional coordinates of all 8 atoms:
Ac 0.0000 0.0000 0.0000  4 Tm 3.48, 2 Ac 3.76
Sm 0.1423 0.6423 0.5000  6 Sm 3.55-3.76, 4 Tm 3.59-3.71
Sm 0.3861 0.8861 0.5000  4 Tm 3.38-3.51, 6 Sm 3.55-3.76
Sm 0.6139 0.1139 0.5000  4 Tm 3.38-3.51, 6 Sm 3.55-3.76
Sm 0.8577 0.3577 0.5000  6 Sm 3.55-3.76, 4 Tm 3.59-3.71
Tm 0.2660 0.2660 0.0000  6 Sm 3.51-3.71, 6 Tm 3.57-3.76
Tm 0.5000 0.5000 0.0000  4 Sm 3.38, 4 Ac 3.48, 2 Tm 3.76
Tm 0.7340 0.7340 0.0000  6 Sm 3.51-3.71, 6 Tm 3.57-3.76

> What is the total magnetic moment in the fourth record?

0.00 μB per formula unit

> Among the records above, which one has the lowest ΔE_f?

Ac14SmTm

> Number 1 is which compound?

Ac12Sm7Tm